First-principles (PBE+U) data for a relaxed Ba2NdW3O12 crystal, as listed in Alexandria via LeMat-Bulk.

Results
As for the crystal system: trigonal. As for the density of states at the Fermi level: 0.1907 states/eV/atom. As for the total energy: -7.42 eV/atom. The space group is No. 166.

Unit cell a=7.133 b=7.133 c=7.133 alpha=63.96 beta=63.96 gamma=63.96
Positions (direct):
Ba1 0.623 0.623 0.623
Ba2 0.377 0.377 0.377
Nd1 0.000 0.000 0.000
W1 0.500 0.000 0.000
W2 0.000 0.500 0.000
W3 0.000 0.000 0.500
O1 0.280 0.280 0.906
O2 0.875 0.875 0.411
O3 0.411 0.875 0.875
O4 0.906 0.280 0.280
O5 0.875 0.411 0.875
O6 0.280 0.906 0.280
O7 0.720 0.720 0.094
O8 0.125 0.125 0.589
O9 0.589 0.125 0.125
O10 0.094 0.720 0.720
O11 0.125 0.589 0.125
O12 0.720 0.094 0.720